(1)
A relaxed structure of LaHo2Sc3, computed with GGA-PBE.

Output
Space-group type   No. 15
ΔH_f (0 K)   0.0631 eV/atom

a b c (Å): 5.9296 5.9296 11.3545
angles (deg): 94.97 94.97 120.00
With the nearest neighbours (Å) after each atom.
Atoms (fractional coordinates):
1 La 0.0813 0.9187 0.7500  7 Sc 3.40-3.47, 5 Ho 3.41-3.44
2 La 0.9187 0.0813 0.2500  7 Sc 3.40-3.47, 5 Ho 3.41-3.44
3 Ho 0.0000 0.5000 0.5000  8 Sc 3.40-3.46, 2 Ho 3.42, 2 La 3.44
4 Ho 0.2507 0.7493 0.2500  7 Sc 3.39-3.45, 3 La 3.41-3.43, 2 Ho 3.42
5 Ho 0.5000 0.0000 0.0000  8 Sc 3.40-3.46, 2 Ho 3.42, 2 La 3.44
6 Ho 0.7493 0.2507 0.7500  7 Sc 3.39-3.45, 3 La 3.41-3.43, 2 Ho 3.42
7 Sc 0.1734 0.3386 0.0007  5 Sc 3.36-3.48, 5 Ho 3.40-3.46, 2 La 3.43-3.44
8 Sc 0.3386 0.1734 0.5007  5 Sc 3.36-3.48, 5 Ho 3.40-3.46, 2 La 3.43-3.44
9 Sc 0.4189 0.5811 0.7500  4 Sc 3.39-3.41, 5 Ho 3.39-3.44, 3 La 3.40-3.47
10 Sc 0.5811 0.4189 0.2500  4 Sc 3.39-3.41, 5 Ho 3.39-3.44, 3 La 3.40-3.47
11 Sc 0.6614 0.8266 0.4993  5 Sc 3.36-3.48, 5 Ho 3.40-3.46, 2 La 3.43-3.44
12 Sc 0.8266 0.6614 0.9993  5 Sc 3.36-3.48, 5 Ho 3.40-3.46, 2 La 3.43-3.44

=====

(2)
A relaxed structure of La6HoSc2, computed with GGA-PBE.

Output
Space-group type   No. 65
ΔH_f (0 K)   0.1484 eV/atom

a b c (Å): 9.9455 9.9455 3.6214
angles (deg): 90.00 90.00 124.33
With the nearest neighbours (Å) after each atom.
Atoms (fractional coordinates):
1 La 0.0047 0.3419 0.0000  4 La 3.20-3.47, 2 Sc 3.53
2 La 0.1758 0.1758 0.5000  7 La 3.27-3.62, 2 Ho 3.51
3 La 0.3419 0.0047 0.0000  4 La 3.20-3.47, 2 Sc 3.53
4 La 0.6581 0.9953 0.0000  4 La 3.20-3.47, 2 Sc 3.53
5 La 0.8242 0.8242 0.5000  7 La 3.27-3.62, 2 Ho 3.51
6 La 0.9953 0.6581 0.0000  4 La 3.20-3.47, 2 Sc 3.53
7 Ho 0.5000 0.5000 0.0000  4 Sc 3.50, 4 La 3.51, 2 Ho 3.62
8 Sc 0.3296 0.6704 0.5000  2 Ho 3.50, 8 La 3.53-3.73, 2 Sc 3.62
9 Sc 0.6704 0.3296 0.5000  2 Ho 3.50, 8 La 3.53-3.73, 2 Sc 3.62

=====

(3)
A relaxed structure of LaHo6Sc4, computed with GGA-PBE.

Output
Space-group type   No. 63
ΔH_f (0 K)   0.1139 eV/atom

a b c (Å): 5.4566 5.4566 24.9659
angles (deg): 90.00 90.00 119.76
With the nearest neighbours (Å) after each atom.
Atoms (fractional coordinates):
1 La 0.1715 0.8285 0.7500  3 Ho 3.15-3.16
2 La 0.8285 0.1715 0.2500  3 Ho 3.15-3.16
3 Ho 0.1617 0.8383 0.1765  4 Sc 3.35-3.42, 5 Ho 3.64-3.75, 3 La 3.64-3.65
4 Ho 0.1617 0.8383 0.3235  4 Sc 3.35-3.42, 5 Ho 3.64-3.75, 3 La 3.64-3.65
5 Ho 0.1707 0.8293 0.5943  7 Sc 3.24-3.42
6 Ho 0.1707 0.8293 0.9057  7 Sc 3.24-3.42
7 Ho 0.4947 0.5053 0.2500  3 La 3.15-3.16, 2 Sc 3.16
8 Ho 0.5000 0.5000 0.0000  8 Sc 3.08-3.34
9 Ho 0.5000 0.5000 0.5000  8 Sc 3.08-3.34
10 Ho 0.5053 0.4947 0.7500  3 La 3.15-3.16, 2 Sc 3.16
11 Ho 0.8293 0.1707 0.0943  7 Sc 3.24-3.42
12 Ho 0.8293 0.1707 0.4057  7 Sc 3.24-3.42
13 Ho 0.8383 0.1617 0.6765  4 Sc 3.35-3.42, 5 Ho 3.64-3.75, 3 La 3.64-3.65
14 Ho 0.8383 0.1617 0.8235  4 Sc 3.35-3.42, 5 Ho 3.64-3.75, 3 La 3.64-3.65
15 Sc 0.1649 0.8351 0.0424  8 Ho 3.32-3.42, 1 Sc 3.72
16 Sc 0.1649 0.8351 0.4576  8 Ho 3.32-3.42, 1 Sc 3.72
17 Sc 0.4950 0.5050 0.1235  8 Ho 3.08-3.42
18 Sc 0.4950 0.5050 0.3765  8 Ho 3.08-3.42
19 Sc 0.5050 0.4950 0.6235  8 Ho 3.08-3.42
20 Sc 0.5050 0.4950 0.8765  8 Ho 3.08-3.42
21 Sc 0.8351 0.1649 0.5424  8 Ho 3.32-3.42, 1 Sc 3.72
22 Sc 0.8351 0.1649 0.9576  8 Ho 3.32-3.42, 1 Sc 3.72

=====

(4)
A relaxed structure of La2Ho6Sc, computed with GGA-PBE.

Output
Space-group type   No. 187
ΔH_f (0 K)   0.0785 eV/atom

a b c (Å): 3.5494 3.5494 26.2432
angles (deg): 90.00 90.00 120.00
With the nearest neighbours (Å) after each atom.
Atoms (fractional coordinates):
1 La 0.0000 0.0000 0.1738  6 La 3.55, 6 Ho 3.56-3.72
2 La 0.0000 0.0000 0.8262  6 La 3.55, 6 Ho 3.56-3.72
3 Ho 0.0000 0.0000 0.3989  3 Sc 3.35, 9 Ho 3.47-3.55
4 Ho 0.0000 0.0000 0.6011  3 Sc 3.35, 9 Ho 3.47-3.55
5 Ho 0.6667 0.3333 0.0628  7 Ho 3.30-3.55, 3 La 3.56
6 Ho 0.6667 0.3333 0.2923  9 Ho 3.47-3.55, 3 La 3.72
7 Ho 0.6667 0.3333 0.7077  9 Ho 3.47-3.55, 3 La 3.72
8 Ho 0.6667 0.3333 0.9372  7 Ho 3.30-3.55, 3 La 3.56
9 Sc 0.6667 0.3333 0.5000  6 Ho 3.35, 6 Sc 3.55

=====

(5)
A relaxed structure of LaHo5Sc3, computed with GGA-PBE.

Output
Space-group type   No. 12
ΔH_f (0 K)   0.5612 eV/atom

a b c (Å): 8.6499 8.6499 10.4081
angles (deg): 117.13 117.13 76.04
With the nearest neighbours (Å) after each atom.
Atoms (fractional coordinates):
1 La 0.2347 0.2347 0.3304  3 Sc 2.97-3.13
2 La 0.7653 0.7653 0.6696  3 Sc 2.97-3.13
3 Ho 0.1515 0.1515 0.5923  3 Sc 3.05-3.15, 2 Ho 3.36-3.40
4 Ho 0.1660 0.6354 0.2624  2 Sc 3.05-3.21
5 Ho 0.2802 0.7198 0.0000  3 Sc 2.99-3.26
6 Ho 0.3020 0.3020 0.9859  2 Sc 3.04-3.07, 1 Ho 3.36
7 Ho 0.3646 0.8340 0.7376  2 Sc 3.05-3.21
8 Ho 0.6354 0.1660 0.2624  2 Sc 3.05-3.21
9 Ho 0.6980 0.6980 0.0141  2 Sc 3.04-3.07, 1 Ho 3.36
10 Ho 0.7198 0.2802 0.0000  3 Sc 2.99-3.26
11 Ho 0.8340 0.3646 0.7376  2 Sc 3.05-3.21
12 Ho 0.8485 0.8485 0.4077  3 Sc 3.05-3.15, 2 Ho 3.36-3.40
13 Sc 0.0000 0.0000 0.0000  2 Sc 2.69, 2 Ho 2.99
14 Sc 0.0292 0.0292 0.7654  1 Sc 2.69
15 Sc 0.4291 0.4291 0.7423  6 Ho 3.07-3.43, 1 Sc 3.18
16 Sc 0.5000 0.5000 0.5000  2 La 2.97, 2 Sc 3.18, 4 Ho 3.21
17 Sc 0.5709 0.5709 0.2577  6 Ho 3.07-3.43, 1 Sc 3.18
18 Sc 0.9708 0.9708 0.2346  1 Sc 2.69

=====

(6)
A relaxed structure of La2Ho3Sc, computed with GGA-PBE.

Output
Space-group type   No. 65
ΔH_f (0 K)   0.0549 eV/atom

a b c (Å): 7.9415 7.9415 5.0666
angles (deg): 90.00 90.00 143.16
With the nearest neighbours (Å) after each atom.
Atoms (fractional coordinates):
1 La 0.1617 0.8383 0.0000  2 Sc 3.50, 8 Ho 3.51-3.65, 2 La 3.66
2 La 0.8383 0.1617 0.0000  2 Sc 3.50, 8 Ho 3.51-3.65, 2 La 3.66
3 Ho 0.0000 0.0000 0.5000  4 La 3.51, 4 Ho 3.52, 4 Sc 3.57
4 Ho 0.3365 0.6635 0.5000  4 Ho 3.52-3.62, 2 Sc 3.53, 6 La 3.57-3.65
5 Ho 0.6635 0.3365 0.5000  4 Ho 3.52-3.62, 2 Sc 3.53, 6 La 3.57-3.65
6 Sc 0.5000 0.5000 0.0000  4 La 3.50, 8 Ho 3.53-3.57